Entry from the Alexandria database: a relaxed structure of CeZrTi2 (PBE).

Cell: 3.6283 3.6283 6.6575 Å, 90.00 90.00 90.00°
Space group P4/mmm (No. 123)
Symmetry-distinct sites (fractional):
Ce1 0.0000 0.0000 0.0000 (multiplicity 1)
Zr1 0.0000 0.0000 0.5000 (multiplicity 1)
Ti1 0.5000 0.5000 0.2903 (multiplicity 2)

Values from the calculation:
* DFT total energy: -7.41 eV/atom
* distance to the lowest polymorph of the same formula: 0 meV per atom
* DFT formation energy: 0.64 eV per formula unit

---

Entry from the Alexandria database: a relaxed structure of CeZr2Ti (PBE).

Cell: 3.0863 3.0863 9.5420 Å, 90.00 90.00 90.00°
Space group P4/mmm (No. 123)
Symmetry-distinct sites (fractional):
Ce1 0.0000 0.0000 0.0000 (multiplicity 1)
Zr1 0.5000 0.5000 0.2793 (multiplicity 2)
Ti1 0.0000 0.0000 0.5000 (multiplicity 1)

Values from the calculation:
* DFT total energy: -7.66 eV/atom
* distance to the lowest polymorph of the same formula: 0 meV per atom
* DFT formation energy: 0.30 eV per formula unit

---

Entry from the Alexandria database: a relaxed structure of CeZrTi2 (PBE).

Cell: 4.4465 4.4465 4.2948 Å, 90.00 90.00 90.00°
Space group P4/mmm (No. 123)
Symmetry-distinct sites (fractional):
Ce1 0.0000 0.0000 0.0000 (multiplicity 1)
Zr1 0.5000 0.5000 0.0000 (multiplicity 1)
Ti1 0.0000 0.5000 0.5000 (multiplicity 2)

Values from the calculation:
* DFT total energy: -7.38 eV/atom
* distance to the lowest polymorph of the same formula: 29 meV per atom
* DFT formation energy: 0.76 eV per formula unit

---

Entry from the Alexandria database: a relaxed structure of CeZr2Ti (PBE).

Cell: 4.5309 4.5309 4.4550 Å, 90.00 90.00 90.00°
Space group P4/mmm (No. 123)
Symmetry-distinct sites (fractional):
Ce1 0.0000 0.0000 0.0000 (multiplicity 1)
Zr1 0.0000 0.5000 0.5000 (multiplicity 2)
Ti1 0.5000 0.5000 0.0000 (multiplicity 1)

Values from the calculation:
* DFT total energy: -7.57 eV/atom
* distance to the lowest polymorph of the same formula: 89 meV per atom
* DFT formation energy: 0.65 eV per formula unit

---

Entry from the Alexandria database: a relaxed structure of CeZr2Ti (PBE).

Cell: 7.1092 7.1092 7.1092 Å, 90.00 90.00 90.00°
Space group Fm-3m (No. 225)
Symmetry-distinct sites (fractional):
Ce1 0.0000 0.0000 0.0000 (multiplicity 4)
Zr1 0.2500 0.2500 0.2500 (multiplicity 8)
Ti1 0.0000 0.0000 0.5000 (multiplicity 4)

Values from the calculation:
* DFT total energy: -7.55 eV/atom
* distance to the lowest polymorph of the same formula: 111 meV per atom
* DFT formation energy: 0.74 eV per formula unit

---

Entry from the Alexandria database: a relaxed structure of CeZr2Ti (PBE).

Cell: 3.0969 3.0969 32.7367 Å, 90.00 90.00 120.00°
Space group R-3m (No. 166, hexagonal axes)
Symmetry-distinct sites (fractional):
Ce1 0.0000 0.0000 0.0000 (multiplicity 3)
Zr1 0.0000 0.0000 0.0931 (multiplicity 6)
Ti1 0.0000 0.0000 0.5000 (multiplicity 3)

Values from the calculation:
* DFT total energy: -7.58 eV/atom
* distance to the lowest polymorph of the same formula: 77 meV per atom
* DFT formation energy: 0.60 eV per formula unit

---

Entry from the Alexandria database: a relaxed structure of CeZrTi2 (PBE).

Cell: 6.9633 6.9633 6.9633 Å, 90.00 90.00 90.00°
Space group Fm-3m (No. 225)
Symmetry-distinct sites (fractional):
Ce1 0.0000 0.0000 0.0000 (multiplicity 4)
Zr1 0.0000 0.0000 0.5000 (multiplicity 4)
Ti1 0.2500 0.2500 0.2500 (multiplicity 8)

Values from the calculation:
* DFT total energy: -7.41 eV/atom
* distance to the lowest polymorph of the same formula: 2 meV per atom
* DFT formation energy: 0.65 eV per formula unit

---

Entry from the Alexandria database: a relaxed structure of CeZr2Ti (PBE).

Cell: 3.1352 3.1352 31.8582 Å, 90.00 90.00 120.00°
Space group R3m (No. 160, hexagonal axes)
Symmetry-distinct sites (fractional):
Ce1 0.0000 0.0000 0.0000 (multiplicity 3)
Zr1 0.0000 0.0000 0.5766 (multiplicity 3)
Zr2 0.0000 0.0000 0.7578 (multiplicity 3)
Ti1 0.0000 0.0000 0.1674 (multiplicity 3)

Values from the calculation:
* DFT total energy: -7.61 eV/atom
* distance to the lowest polymorph of the same formula: 46 meV per atom
* DFT formation energy: 0.48 eV per formula unit

---

Entry from the Alexandria database: a relaxed structure of Ce3Tl5 (PBE).

Cell: 10.4382 8.3799 10.5730 Å, 90.00 90.00 90.00°
Space group Cmcm (No. 63)
Symmetry-distinct sites (fractional):
Ce1 0.0000 0.1113 0.2500 (multiplicity 4)
Ce2 0.2084 0.5000 0.0000 (multiplicity 8)
Tl1 0.0000 0.2026 0.5416 (multiplicity 8)
Tl2 0.0000 0.4984 0.2500 (multiplicity 4)
Tl3 0.2205 0.2182 0.7500 (multiplicity 8)

Values from the calculation:
* DFT total energy: -3.94 eV/atom
* distance to the lowest polymorph of the same formula: 0 meV per atom
* DFT formation energy: -1.91 eV per formula unit

---

Entry from the Alexandria database: a relaxed structure of CeTl2 (PBE).

Cell: 8.8459 8.8459 8.8459 Å, 90.00 90.00 90.00°
Space group Fd-3m (No. 227, origin choice 2)
Symmetry-distinct sites (fractional):
Ce1 0.1250 0.1250 0.1250 (multiplicity 8)
Tl1 0.0000 0.0000 0.5000 (multiplicity 16)

Values from the calculation:
* DFT total energy: -3.62 eV/atom
* DFT formation energy: -0.18 eV per formula unit

---

Entry from the Alexandria database: a relaxed structure of Ce7Tl (PBE).

Cell: 9.4724 9.4724 9.4724 Å, 90.00 90.00 90.00°
Space group Fm-3m (No. 225)
Symmetry-distinct sites (fractional):
Ce1 0.0000 0.0000 0.0000 (multiplicity 4)
Ce2 0.0000 0.2500 0.2500 (multiplicity 24)
Tl1 0.0000 0.0000 0.5000 (multiplicity 4)

Values from the calculation:
* DFT total energy: -5.53 eV/atom
* DFT formation energy: -0.37 eV per formula unit

---

Entry from the Alexandria database: a relaxed structure of Ce5Tl3 (PBE).

Cell: 9.4902 9.8196 4.8318 Å, 90.00 90.00 90.00°
Space group Cmmm (No. 65)
Symmetry-distinct sites (fractional):
Ce1 0.0000 0.0000 0.0000 (multiplicity 2)
Ce2 0.2479 0.0000 0.5000 (multiplicity 4)
Ce3 0.2500 0.2500 0.0000 (multiplicity 4)
Tl1 0.0000 0.2455 0.5000 (multiplicity 4)
Tl2 0.0000 0.5000 0.0000 (multiplicity 2)

Values from the calculation:
* DFT total energy: -4.74 eV/atom
* DFT formation energy: -1.17 eV per formula unit

---

Entry from the Alexandria database: a relaxed structure of Ce3Tl5 (PBE).

Cell: 9.3910 9.8614 4.9470 Å, 90.00 90.00 90.00°
Space group Cmmm (No. 65)
Symmetry-distinct sites (fractional):
Ce1 0.0000 0.0000 0.0000 (multiplicity 2)
Ce2 0.0000 0.2681 0.5000 (multiplicity 4)
Tl1 0.0000 0.5000 0.0000 (multiplicity 2)
Tl2 0.2363 0.0000 0.5000 (multiplicity 4)
Tl3 0.2500 0.2500 0.0000 (multiplicity 4)

Values from the calculation:
* DFT total energy: -3.92 eV/atom
* distance to the lowest polymorph of the same formula: 21 meV per atom
* DFT formation energy: -1.74 eV per formula unit

---

Entry from the Alexandria database: a relaxed structure of Ce5Tl4 (PBE).

Cell: 9.6240 9.6240 6.6197 Å, 90.00 90.00 120.00°
Space group P6_3/mcm (No. 193)
Symmetry-distinct sites (fractional):
Ce1 0.0000 0.3002 0.2500 (multiplicity 6)
Ce2 0.3333 0.6667 0.0000 (multiplicity 4)
Tl1 0.0000 0.0000 0.0000 (multiplicity 2)
Tl2 0.0000 0.3637 0.7500 (multiplicity 6)

Values from the calculation:
* DFT total energy: -4.55 eV/atom
* distance to the lowest polymorph of the same formula: 0 meV per atom
* DFT formation energy: -1.85 eV per formula unit

---

Entry from the Alexandria database: a relaxed structure of CeTl3 (PBE).

Cell: 3.4486 11.2499 6.0052 Å, 90.00 90.00 90.00°
Space group Imm2 (No. 44)
Symmetry-distinct sites (fractional):
Ce1 0.0000 0.0000 0.0000 (multiplicity 2)
Tl1 0.0000 0.2500 0.6727 (multiplicity 4)
Tl2 0.0000 0.5000 0.0039 (multiplicity 2)

Values from the calculation:
* DFT total energy: -3.36 eV/atom
* DFT formation energy: -0.42 eV per formula unit

---

Entry from the Alexandria database: a relaxed structure of Ce4Tl5 (PBE).

Cell: 9.5966 9.5966 6.6088 Å, 90.00 90.00 120.00°
Space group P6_3/mcm (No. 193)
Symmetry-distinct sites (fractional):
Ce1 0.0000 0.0000 0.0000 (multiplicity 2)
Ce2 0.0000 0.3659 0.2500 (multiplicity 6)
Tl1 0.0000 0.3029 0.7500 (multiplicity 6)
Tl2 0.3333 0.6667 0.0000 (multiplicity 4)

Values from the calculation:
* DFT total energy: -4.16 eV/atom
* distance to the lowest polymorph of the same formula: 0 meV per atom
* DFT formation energy: -1.88 eV per formula unit

---

Entry from the Alexandria database: a relaxed structure of Ce8Tl3 (PBE).

Cell: 3.1976 5.1787 34.5513 Å, 90.00 90.00 90.00°
Space group Immm (No. 71)
Symmetry-distinct sites (fractional):
Ce1 0.0000 0.0000 0.0477 (multiplicity 4)
Ce2 0.0000 0.0000 0.2251 (multiplicity 4)
Ce3 0.0000 0.5000 0.0888 (multiplicity 4)
Ce4 0.0000 0.5000 0.1838 (multiplicity 4)
Tl1 0.0000 0.0000 0.5000 (multiplicity 2)
Tl2 0.0000 0.5000 0.3642 (multiplicity 4)

Values from the calculation:
* DFT total energy: -5.05 eV/atom
* DFT formation energy: -0.95 eV per formula unit

---

Entry from the Alexandria database: a relaxed structure of CeTl3 (PBE).

Cell: 7.7527 7.7527 7.7527 Å, 90.00 90.00 90.00°
Space group Fm-3m (No. 225)
Symmetry-distinct sites (fractional):
Ce1 0.0000 0.0000 0.0000 (multiplicity 4)
Tl1 0.0000 0.0000 0.5000 (multiplicity 4)
Tl2 0.2500 0.2500 0.2500 (multiplicity 8)

Values from the calculation:
* DFT total energy: -3.35 eV/atom
* DFT formation energy: -0.36 eV per formula unit

---

Entry from the Alexandria database: a relaxed structure of CeTl2 (PBE).

Cell: 10.6096 4.9691 6.7623 Å, 90.00 103.26 90.00°
Space group C2/m (No. 12)
Symmetry-distinct sites (fractional):
Ce1 0.1581 0.0000 0.3008 (multiplicity 4)
Tl1 0.0000 0.5000 0.0000 (multiplicity 2)
Tl2 0.0000 0.5000 0.5000 (multiplicity 2)
Tl3 0.1647 0.0000 0.8101 (multiplicity 4)

Values from the calculation:
* DFT total energy: -3.74 eV/atom
* DFT formation energy: -0.56 eV per formula unit

---

Entry from the Alexandria database: a relaxed structure of CeTl7 (PBE).

Cell: 9.8146 9.8146 9.8146 Å, 90.00 90.00 90.00°
Space group Fm-3m (No. 225)
Symmetry-distinct sites (fractional):
Ce1 0.0000 0.0000 0.0000 (multiplicity 4)
Tl1 0.0000 0.0000 0.5000 (multiplicity 4)
Tl2 0.0000 0.2500 0.2500 (multiplicity 24)

Values from the calculation:
* DFT total energy: -2.90 eV/atom
* DFT formation energy: -0.66 eV per formula unit